Record 1
A geometry-optimized AcMg2AlAg4 structure, computed with GGA-PBE.

* DFT formation energy: -0.1980 eV per atom
* total magnetization: 0.000 Bohr magnetons per cell

Geometry as POSCAR:
```
AcMg2AlAg4
1.0
4.621 0.000 0.000
2.310 4.002 0.000
2.310 1.334 9.554
Mg Ag Al Ac
2 4 1 1
Cartesian
2.310 1.334 2.800
6.931 4.002 6.755
4.621 2.668 2.052
2.310 1.334 5.685
4.621 2.668 7.502
6.931 4.002 3.870
4.621 2.668 4.777
0.000 0.000 0.000
```

Record 2
A geometry-optimized MgTcIr structure, computed with GGA-PBE.

* DFT formation energy: -0.1350 eV per atom
* total magnetization: 0.000 Bohr magnetons per cell
* energy above the most stable polymorph in this dataset: 61 meV/atom

Geometry as POSCAR:
```
MgTcIr
1.0
2.851 0.001 0.001
-1.429 4.603 0.002
-1.432 1.540 7.146
Tc Mg Ir
2 2 2
Cartesian
0.153 3.326 2.505
1.579 1.251 3.194
0.152 1.856 5.711
0.148 4.261 7.135
-1.275 3.946 4.604
0.155 0.630 1.094
```

Record 3
A geometry-optimized PuSi2Ir3 structure, computed with GGA-PBE.

* total magnetization: 14.225 Bohr magnetons per cell
* uncorrected energy: -9.37 eV/atom

Geometry as POSCAR:
```
PuSi2Ir3
1.0
3.971 0.000 0.000
-1.986 7.642 -2.501
0.000 0.004 9.713
Ir Si Pu
9 6 3
Cartesian
1.986 1.836 1.323
0.000 3.352 2.707
0.000 0.633 3.004
0.000 5.810 5.889
1.986 7.013 4.208
1.986 0.002 4.856
1.986 2.719 8.406
1.986 4.294 4.505
0.000 4.927 -1.194
0.000 5.539 3.511
0.000 7.076 -0.151
1.986 4.663 6.959
1.986 2.106 3.701
1.986 0.569 7.363
0.000 2.983 0.253
0.000 0.000 0.000
1.986 5.195 1.188
0.000 2.451 6.024
```

Record 4
A geometry-optimized Hf2AgCl8 structure, computed with GGA-PBE.

* total magnetization: 1.015 Bohr magnetons per cell
* uncorrected energy: -4.81 eV/atom

Geometry as POSCAR:
```
Hf2AgCl8
1.0
-2.177 -5.178 -6.937
5.995 -5.341 -0.886
-0.357 -7.577 2.777
Hf Ag Cl
2 1 8
Cartesian
2.962 -13.848 -3.319
0.499 -4.248 -1.728
0.000 0.000 0.000
1.444 -9.991 0.527
1.731 -5.792 -0.535
2.018 -8.105 -5.574
4.709 -8.842 -1.356
1.731 -12.304 -4.512
-1.248 -9.255 -3.691
-0.291 -5.210 -3.686
3.752 -12.886 -1.361
```

Record 5
A geometry-optimized Pr3Au structure, computed with GGA-PBE.

* DFT formation energy: -0.2111 eV per atom
* total magnetization: 0.000 Bohr magnetons per cell
* energy above the most stable polymorph in this dataset: 138 meV/atom

Geometry as POSCAR:
```
Pr3Au
1.0
4.916 0.000 0.000
0.000 4.916 0.000
0.000 0.000 4.916
Pr Au
3 1
Cartesian
2.458 2.458 0.000
0.000 2.458 2.458
2.458 0.000 2.458
0.000 0.000 0.000
```

Record 6
A geometry-optimized TaRhN structure, computed with GGA-PBE.

* total magnetization: 0.000 Bohr magnetons per cell
* uncorrected energy: -9.83 eV/atom

Geometry as POSCAR:
```
TaRhN
1.0
-1.439 -2.345 -1.177
1.755 0.137 -2.420
5.543 -4.316 5.626
Ta N Rh
2 2 2
Cartesian
1.952 -1.856 1.311
3.907 -4.668 0.719
2.429 -3.263 -0.273
3.430 -3.261 2.303
0.962 -1.868 -1.258
4.897 -4.655 3.288
```

Record 7
A geometry-optimized Li2CuRuF8 structure, computed with GGA-PBE.

* total magnetization: 3.018 Bohr magnetons per cell
* uncorrected energy: -4.78 eV/atom

Geometry as POSCAR:
```
Li2CuRuF8
1.0
4.644 -0.095 -0.003
-0.084 4.635 -0.005
0.004 0.007 6.567
F Li Ru Cu
8 2 1 1
Cartesian
0.832 3.724 4.759
1.332 1.327 -0.002
0.830 3.721 1.799
3.734 0.827 4.760
3.227 3.213 -0.005
3.732 0.824 1.800
3.214 3.203 3.278
1.349 1.345 3.281
2.283 2.276 5.107
2.281 2.272 1.453
0.002 0.004 3.284
0.000 0.000 0.000
```

Record 8
A geometry-optimized Dy2ErTmAs4 structure, computed with GGA-PBE.

* DFT formation energy: -1.5246 eV per atom
* total magnetization: 0.000 Bohr magnetons per cell

Geometry as POSCAR:
```
Dy2ErTmAs4
1.0
4.097 0.000 0.000
0.000 7.091 -0.140
0.000 2.495 6.640
Er As Dy Tm
1 4 2 1
Cartesian
0.000 4.793 3.250
2.049 5.923 1.558
0.000 7.171 4.886
2.049 3.663 4.942
4.097 2.415 1.614
2.049 1.248 3.320
0.000 2.495 6.640
2.049 3.545 -0.070
```

| no. | DOS(E_F) (states/eV/f.u.) | mass density (g/cm3) |
| --- | --- | --- |
| 1 | 4.99 | 6.899 |
| 2 | 2.00 | 11.137 |
| 3 | 12.79 | 14.815 |
| 4 | 0.37 | 2.703 |
| 5 | 5.18 | 8.663 |
| 6 | 1.37 | 12.628 |
| 7 | 3.21 | 3.883 |
| 8 | 1.05 | 8.211 |